Record 1
Tl2OsPb: optimized geometry, PBE.

Cell lengths 10.680, 10.680, 10.680 Å; angles 17.90, 17.90, 17.90 degrees
Sites, in units of the cell vectors:
Tl  0.000  0.000  0.000
Tl  0.241  0.241  0.241
Os  0.735  0.735  0.735
Pb  0.468  0.468  0.468

Summary:
Its polymorph energy (0 for the lowest one) is 59 meV/atom.

***

Record 2
Tm2OsPb: optimized geometry, PBE.

Cell lengths 3.366, 3.366, 8.381 Å; angles 90.00, 90.00, 90.00 degrees
Sites, in units of the cell vectors:
Tm  0.000  0.000  0.196
Tm  0.000  0.000  0.804
Os  0.500  0.500  0.000
Pb  0.500  0.500  0.500

***

Record 3
Tm3OsPb: optimized geometry, PBE.

Cell lengths 9.590, 8.906, 5.805 Å; angles 78.26, 65.40, 36.34 degrees
Sites, in units of the cell vectors:
Tm  0.194  0.569  0.431
Tm  0.202  0.202  0.798
Tm  0.431  0.806  0.194
Tm  0.569  0.194  0.806
Tm  0.798  0.798  0.202
Tm  0.806  0.431  0.569
Os  0.250  0.250  0.250
Os  0.750  0.750  0.750
Pb  0.223  0.777  0.777
Pb  0.777  0.223  0.223

Summary:
Its polymorph energy (0 for the lowest one) is 0 meV/atom.

***

Record 4
Tm4OsPb: optimized geometry, PBE.

Cell lengths 7.990, 7.990, 6.079 Å; angles 102.13, 102.13, 112.87 degrees
Sites, in units of the cell vectors:
Tm  0.056  0.724  0.939
Tm  0.204  0.345  0.649
Tm  0.276  0.944  0.561
Tm  0.345  0.204  0.149
Tm  0.655  0.796  0.851
Tm  0.724  0.056  0.439
Tm  0.796  0.655  0.351
Tm  0.944  0.276  0.061
Os  0.000  0.000  0.250
Os  0.000  0.000  0.750
Pb  0.370  0.630  0.250
Pb  0.630  0.370  0.750

***

Record 5
Tm8Os3Pb2: optimized geometry, PBE.

Cell lengths 8.838, 8.838, 4.861 Å; angles 90.00, 90.00, 113.60 degrees
Sites, in units of the cell vectors:
Tm  0.106  0.894  0.000
Tm  0.147  0.363  0.500
Tm  0.363  0.147  0.500
Tm  0.390  0.610  0.000
Tm  0.610  0.390  0.000
Tm  0.637  0.853  0.500
Tm  0.853  0.637  0.500
Tm  0.894  0.106  0.000
Os  0.251  0.251  0.000
Os  0.500  0.500  0.500
Os  0.749  0.749  0.000
Pb  0.244  0.756  0.500
Pb  0.756  0.244  0.500

***

Record 6
Tm7Os2Pb2: optimized geometry, PBE.

Cell lengths 6.724, 6.724, 7.224 Å; angles 90.00, 90.00, 103.76 degrees
Sites, in units of the cell vectors:
Tm  0.000  0.000  0.000
Tm  0.000  0.500  0.238
Tm  0.000  0.500  0.762
Tm  0.500  0.000  0.238
Tm  0.500  0.000  0.762
Tm  0.500  0.500  0.224
Tm  0.500  0.500  0.776
Os  0.284  0.716  0.000
Os  0.716  0.284  0.000
Pb  0.191  0.191  0.500
Pb  0.809  0.809  0.500

***

Record 7
Tm6OsPb3: optimized geometry, PBE.

Cell lengths 6.024, 8.708, 12.249 Å; angles 90.00, 117.96, 90.00 degrees
Sites, in units of the cell vectors:
Tm  0.057  0.155  0.440
Tm  0.057  0.345  0.940
Tm  0.339  0.705  0.434
Tm  0.339  0.795  0.934
Tm  0.403  0.050  0.269
Tm  0.403  0.450  0.769
Tm  0.597  0.550  0.231
Tm  0.597  0.950  0.731
Tm  0.661  0.205  0.066
Tm  0.661  0.295  0.566
Tm  0.943  0.655  0.060
Tm  0.943  0.845  0.560
Os  0.500  0.000  0.500
Os  0.500  0.500  0.000
Pb  0.000  0.000  0.000
Pb  0.000  0.500  0.500
Pb  0.164  0.113  0.766
Pb  0.164  0.387  0.266
Pb  0.836  0.613  0.734
Pb  0.836  0.887  0.234

***

Record 8
Tm3OsPb: optimized geometry, PBE.

Cell lengths 7.200, 7.200, 9.294 Å; angles 121.34, 121.34, 40.69 degrees
Sites, in units of the cell vectors:
Tm  0.090  0.090  0.411
Tm  0.334  0.334  0.775
Tm  0.404  0.404  0.265
Tm  0.596  0.596  0.735
Tm  0.666  0.666  0.225
Tm  0.910  0.910  0.589
Os  0.310  0.310  0.455
Os  0.690  0.690  0.545
Pb  0.117  0.117  0.982
Pb  0.883  0.883  0.018

Summary:
Its polymorph energy (0 for the lowest one) is 70 meV/atom.

***

Record 9
Tm5Os2Pb: optimized geometry, PBE.

Cell lengths 8.775, 8.775, 8.775 Å; angles 128.68, 128.68, 75.52 degrees
Sites, in units of the cell vectors:
Tm  0.000  0.000  0.000
Tm  0.031  0.531  0.822
Tm  0.209  0.031  0.500
Tm  0.291  0.791  0.822
Tm  0.469  0.291  0.500
Tm  0.500  0.500  0.000
Tm  0.531  0.709  0.500
Tm  0.709  0.209  0.178
Tm  0.791  0.969  0.500
Tm  0.969  0.469  0.178
Os  0.136  0.364  0.500
Os  0.364  0.864  0.227
Os  0.636  0.136  0.773
Os  0.864  0.636  0.500
Pb  0.250  0.250  0.000
Pb  0.750  0.750  0.000

***

Record 10
Tm8Os2Pb: optimized geometry, PBE.

Cell lengths 9.121, 9.121, 7.088 Å; angles 110.93, 110.93, 31.33 degrees
Sites, in units of the cell vectors:
Tm  0.000  0.000  0.000
Tm  0.157  0.157  0.541
Tm  0.210  0.210  0.149
Tm  0.407  0.407  0.605
Tm  0.526  0.526  0.355
Tm  0.604  0.604  0.853
Tm  0.791  0.791  0.693
Tm  0.848  0.848  0.263
Os  0.005  0.005  0.609
Os  0.680  0.680  0.299
Pb  0.357  0.357  0.981

***

Record 11
Tm5OsPb: optimized geometry, PBE.

Cell lengths 6.384, 6.384, 11.260 Å; angles 105.63, 105.63, 65.36 degrees
Sites, in units of the cell vectors:
Tm  0.027  0.973  0.750
Tm  0.036  0.402  0.637
Tm  0.210  0.540  0.955
Tm  0.402  0.036  0.137
Tm  0.460  0.790  0.545
Tm  0.540  0.210  0.455
Tm  0.598  0.964  0.863
Tm  0.790  0.460  0.045
Tm  0.964  0.598  0.363
Tm  0.973  0.027  0.250
Os  0.000  0.000  0.000
Os  0.000  0.000  0.500
Pb  0.462  0.538  0.250
Pb  0.538  0.462  0.750

***

Record 12
Tm5OsPb4: optimized geometry, PBE.

Cell lengths 7.485, 7.485, 7.485 Å; angles 99.41, 99.41, 132.29 degrees
Sites, in units of the cell vectors:
Tm  0.000  0.000  0.000
Tm  0.150  0.277  0.642
Tm  0.277  0.635  0.127
Tm  0.508  0.150  0.873
Tm  0.635  0.508  0.358
Os  0.481  0.481  0.000
Pb  0.219  0.953  0.392
Pb  0.561  0.827  0.608
Pb  0.827  0.219  0.266
Pb  0.953  0.561  0.734

***

Record 13
Tm5Os2Pb2: optimized geometry, PBE.

Cell lengths 9.069, 9.069, 7.436 Å; angles 90.00, 90.00, 48.97 degrees
Sites, in units of the cell vectors:
Tm  0.000  0.000  0.000
Tm  0.063  0.705  0.677
Tm  0.205  0.563  0.177
Tm  0.295  0.937  0.677
Tm  0.437  0.795  0.177
Tm  0.500  0.500  0.500
Tm  0.563  0.205  0.823
Tm  0.705  0.063  0.323
Tm  0.795  0.437  0.823
Tm  0.937  0.295  0.323
Os  0.120  0.880  0.382
Os  0.380  0.620  0.882
Os  0.620  0.380  0.118
Os  0.880  0.120  0.618
Pb  0.228  0.228  0.000
Pb  0.272  0.272  0.500
Pb  0.728  0.728  0.500
Pb  0.772  0.772  0.000

***

Record 14
U2OsPb: optimized geometry, PBE.

Cell lengths 3.704, 3.704, 6.703 Å; angles 90.00, 90.00, 90.00 degrees
Sites, in units of the cell vectors:
U  0.000  0.000  0.185
U  0.000  0.000  0.815
Os  0.500  0.500  0.000
Pb  0.500  0.500  0.500

***

Record 15
VOsPb3: optimized geometry, PBE.

Cell lengths 5.227, 5.227, 5.227 Å; angles 90.00, 90.00, 90.00 degrees
Sites, in units of the cell vectors:
V  0.000  0.000  0.000
Os  0.500  0.500  0.500
Pb  0.000  0.000  0.500
Pb  0.000  0.500  0.000
Pb  0.500  0.000  0.000

Summary:
Its polymorph energy (0 for the lowest one) is 367 meV/atom.

***

Record 16
V2Os2Pb: optimized geometry, PBE.

Cell lengths 7.507, 7.507, 2.910 Å; angles 90.00, 90.00, 90.00 degrees
Sites, in units of the cell vectors:
V  0.152  0.348  0.000
V  0.348  0.848  0.000
V  0.652  0.152  0.000
V  0.848  0.652  0.000
Os  0.132  0.632  0.500
Os  0.368  0.132  0.500
Os  0.632  0.868  0.500
Os  0.868  0.368  0.500
Pb  0.000  0.000  0.500
Pb  0.500  0.500  0.500

***

Record 17
VOsPb3: optimized geometry, PBE.

Cell lengths 5.296, 5.296, 5.296 Å; angles 90.00, 90.00, 90.00 degrees
Sites, in units of the cell vectors:
V  0.000  0.000  0.000
Os  0.500  0.500  0.500
Pb  0.000  0.500  0.500
Pb  0.500  0.000  0.500
Pb  0.500  0.500  0.000

Summary:
Its polymorph energy (0 for the lowest one) is 0 meV/atom.

***

Record 18
VOs2Pb2: optimized geometry, PBE.

Cell lengths 7.867, 7.867, 3.130 Å; angles 90.00, 90.00, 90.00 degrees
Sites, in units of the cell vectors:
V  0.000  0.000  0.000
V  0.500  0.500  0.000
Os  0.149  0.351  0.500
Os  0.351  0.851  0.500
Os  0.649  0.149  0.500
Os  0.851  0.649  0.500
Pb  0.150  0.650  0.000
Pb  0.350  0.150  0.000
Pb  0.650  0.850  0.000
Pb  0.850  0.350  0.000

***

Record 19
VOs2Pb: optimized geometry, PBE.

Cell lengths 9.224, 9.224, 9.224 Å; angles 153.80, 153.80, 37.39 degrees
Sites, in units of the cell vectors:
V  0.000  0.000  0.000
V  0.750  0.250  0.500
Os  0.044  0.625  0.919
Os  0.375  0.294  0.419
Os  0.706  0.125  0.081
Os  0.875  0.956  0.581
Pb  0.250  0.750  0.500
Pb  0.500  0.500  0.000

***

Record 20
Os4PbW: optimized geometry, PBE.

Cell lengths 5.229, 5.229, 5.229 Å; angles 60.00, 60.00, 60.00 degrees
Sites, in units of the cell vectors:
Os  0.124  0.124  0.124
Os  0.124  0.124  0.627
Os  0.124  0.627  0.124
Os  0.627  0.124  0.124
Pb  0.500  0.500  0.500
W  0.750  0.750  0.750

***

Record 21
OsPbW2: optimized geometry, PBE.

Cell lengths 4.982, 4.982, 4.982 Å; angles 131.00, 131.00, 71.81 degrees
Sites, in units of the cell vectors:
Os  0.000  0.000  0.000
Pb  0.250  0.750  0.500
W  0.500  0.500  0.000
W  0.750  0.250  0.500

***

Record 22
OsPbW2: optimized geometry, PBE.

Cell lengths 2.965, 2.965, 8.201 Å; angles 90.00, 90.00, 90.00 degrees
Sites, in units of the cell vectors:
Os  0.000  0.000  0.000
Pb  0.500  0.500  0.275
W  0.000  0.000  0.564
W  0.500  0.500  0.803

***

Record 23
Os3PbW: optimized geometry, PBE.

Cell lengths 4.793, 4.793, 4.793 Å; angles 90.00, 90.00, 90.00 degrees
Sites, in units of the cell vectors:
Os  0.000  0.000  0.500
Os  0.000  0.500  0.000
Os  0.500  0.000  0.000
Pb  0.500  0.500  0.500
W  0.000  0.000  0.000

Summary:
Its polymorph energy (0 for the lowest one) is 0 meV/atom.

***

Energy of formation from the pure elements readings, ordered: 0.62 -0.42 -0.36 -0.41 -0.31 -0.24 -0.31 -0.29 -0.39 -0.26 -0.10 -0.21 -0.37 0.20 1.44 0.20 1.07 1.14 0.96 0.92 0.90 0.67 2.00 eV per atom
Density of states at the Fermi level readings, ordered: 0.66 0.53 0.65 0.90 0.59 0.75 0.86 0.46 0.71 0.77 0.97 0.70 0.79 2.07 1.34 0.62 1.82 0.77 1.25 1.42 1.03 0.70 1.12 states/eV/atom